No. 1
The following is a PBE-GGA calculation of an optimized crystal structure of SiAs2Ru, from Alexandria via LeMat-Bulk. Values from VASP.

Cell and atoms, written as Quantum ESPRESSO input:
```
&SYSTEM
  ibrav = 0, nat = 8, ntyp = 3
/
ATOMIC_SPECIES
Si 28.09 Si.upf
As 74.92 As.upf
Ru 101.07 Ru.upf
ATOMIC_POSITIONS angstrom
Si 0.000 0.000 0.000
Si 2.604 3.521 0.000
As 0.289 1.760 1.837
As 0.289 5.281 1.837
As 2.893 1.760 1.837
As 2.893 5.281 1.837
Ru 0.000 3.521 0.000
Ru 2.604 0.000 0.000
CELL_PARAMETERS angstrom
5.208 0.000 0.000
0.000 7.042 0.000
-2.026 0.000 3.673
```

**N(E_F)**: 2.44 states/eV/f.u.
**Uncorrected formation energy**: 0.27 eV per atom
**Total DFT energy (no corrections)**: -0.421 Ry/atom
**Magnetic moment**: 0.000 μB/atom


No. 2
The following is a PBE-GGA calculation of an optimized crystal structure of AlIn2Pt, from Alexandria via LeMat-Bulk. Values from VASP.

Cell and atoms, written as Quantum ESPRESSO input:
```
&SYSTEM
  ibrav = 0, nat = 4, ntyp = 3
/
ATOMIC_SPECIES
Al 26.98 Al.upf
In 114.82 In.upf
Pt 195.08 Pt.upf
ATOMIC_POSITIONS angstrom
Al 0.000 0.000 0.000
In 0.000 0.000 4.909
In 1.545 1.641 2.239
Pt 1.545 1.641 6.948
CELL_PARAMETERS angstrom
3.090 0.000 0.000
0.000 3.283 0.000
0.000 0.000 8.188
```

**N(E_F)**: 1.78 states/eV/f.u.
**Total DFT energy (no corrections)**: -0.303 Ry/atom
**Magnetic moment**: 0.000 μB/atom